Record 1
{"formula": "HfTlCuPd", "functional": "GGA-PBE", "state": "optimized geometry", "cell": [[0.000, 3.281, 3.281], [3.281, 0.000, 3.281], [3.281, 3.281, 0.000]], "species": ["Hf", "Tl", "Cu", "Pd"], "fractional_positions": [[0.000, 0.000, 0.000], [0.500, 0.500, 0.500], [0.250, 0.250, 0.250], [0.750, 0.750, 0.750]], "e_tot_ev_per_atom": -5.5246}

***

Record 2
{"formula": "HfTlCuPd", "functional": "GGA-PBE", "state": "optimized geometry", "cell": [[0.000, 3.283, 3.283], [3.283, 0.000, 3.283], [3.283, 3.283, 0.000]], "species": ["Hf", "Tl", "Cu", "Pd"], "fractional_positions": [[0.000, 0.000, 0.000], [0.250, 0.250, 0.250], [0.750, 0.750, 0.750], [0.500, 0.500, 0.500]], "e_tot_ev_per_atom": -5.3655}

***

Record 3
{"formula": "PrHfCu", "functional": "GGA-PBE", "state": "optimized geometry", "cell": [[0.000, 3.348, 3.348], [3.348, 0.000, 3.348], [3.348, 3.348, 0.000]], "species": ["Pr", "Hf", "Cu"], "fractional_positions": [[0.000, 0.000, 0.000], [0.500, 0.500, 0.500], [0.750, 0.750, 0.750]], "e_form_ev_per_atom": 0.394}

***

Record 4
{"formula": "PrHfCu", "functional": "GGA-PBE", "state": "optimized geometry", "cell": [[0.000, 3.358, 3.358], [3.358, 0.000, 3.358], [3.358, 3.358, 0.000]], "species": ["Pr", "Hf", "Cu"], "fractional_positions": [[0.000, 0.000, 0.000], [0.250, 0.250, 0.250], [0.750, 0.750, 0.750]], "e_form_ev_per_atom": 1.085}

***

Record 5
{"formula": "PrHfCu2Sn2", "functional": "GGA-PBE", "state": "optimized geometry", "cell": [[4.503, 0.000, 0.000], [-2.252, 3.900, 0.000], [0.000, 0.000, 7.235]], "species": ["Pr", "Hf", "Cu", "Cu", "Sn", "Sn"], "fractional_positions": [[0.000, 0.000, 0.000], [0.000, 0.000, 0.500], [0.333, 0.667, 0.334], [0.667, 0.333, 0.668], [0.333, 0.667, 0.730], [0.667, 0.333, 0.269]], "e_tot_ev_per_atom": -5.4879}

***

Record 6
{"formula": "Hf2CuPt", "functional": "GGA-PBE", "state": "optimized geometry", "cell": [[0.000, 3.242, 3.242], [3.242, 0.000, 3.242], [3.242, 3.242, 0.000]], "species": ["Hf", "Hf", "Cu", "Pt"], "fractional_positions": [[0.000, 0.000, 0.000], [0.250, 0.250, 0.250], [0.500, 0.500, 0.500], [0.750, 0.750, 0.750]], "e_form_ev_per_atom": -0.271}

***

Record 7
{"formula": "Hf2CuPt3", "functional": "GGA-PBE", "state": "optimized geometry", "cell": [[3.454, 0.000, 0.000], [0.000, 3.454, 0.000], [0.000, 0.000, 8.513]], "species": ["Hf", "Hf", "Cu", "Pt", "Pt", "Pt"], "fractional_positions": [[0.000, 0.000, 0.000], [0.500, 0.500, 0.496], [0.500, 0.500, 0.826], [0.000, 0.000, 0.340], [0.000, 0.000, 0.675], [0.500, 0.500, 0.142]], "e_form_ev_per_atom": -0.957}

***

Record 8
{"formula": "HfTlCuPt", "functional": "GGA-PBE", "state": "optimized geometry", "cell": [[0.000, 3.299, 3.299], [3.299, 0.000, 3.299], [3.299, 3.299, 0.000]], "species": ["Hf", "Tl", "Cu", "Pt"], "fractional_positions": [[0.000, 0.000, 0.000], [0.250, 0.250, 0.250], [0.500, 0.500, 0.500], [0.750, 0.750, 0.750]], "e_tot_ev_per_atom": -5.7150}